Here is an optimized crystal structure of ZnSnHgSe4 from Alexandria via LeMat-Bulk. Energies are from PBE.

Results
Total DFT energy (no corrections) ... -3.191 eV per atom
Crystal system ... tetragonal
Calculated volume ... 28.4 Å³ per atom

a b c (Å): 5.906 5.906 11.392
angles (deg): 90.00 90.00 90.00
Space group I-4 (No. 82)
Asymmetric unit:
Zn 0.000 0.000 0.000 [2 per cell]
Sn 0.000 0.500 0.750 [2 per cell]
Hg 0.000 0.500 0.250 [2 per cell]
Se 0.229 0.248 0.607 [8 per cell]

=====

Here is an optimized crystal structure of Ce6HgAu6 from Alexandria via LeMat-Bulk. Energies are from PBE.

Results
Total DFT energy (no corrections) ... -4.695 eV per atom
Crystal system ... hexagonal
Energy of formation ... -0.421 eV per atom
Calculated volume ... 26.0 Å³ per atom

a b c (Å): 6.1767 6.1767 10.2484
angles (deg): 90.00 90.00 120.00
Space group P6/mmm (No. 191)
Asymmetric unit:
Ce 0.0000 0.0000 0.1878 [2 per cell]
Ce 0.3333 0.6667 0.0000 [2 per cell]
Ce 0.3333 0.6667 0.5000 [2 per cell]
Hg 0.0000 0.0000 0.5000 [1 per cell]
Au 0.0000 0.5000 0.2506 [6 per cell]

=====

Here is an optimized crystal structure of Sb2TeBr8 from Alexandria via LeMat-Bulk. Energies are from PBE.

Results
Total DFT energy (no corrections) ... -2.698 eV per atom
Crystal system ... monoclinic
Calculated volume ... 44.6 Å³ per atom

a b c (Å): 14.545 9.319 8.024
angles (deg): 90.00 115.60 90.00
Space group C2/m (No. 12)
Asymmetric unit:
Sb 0.168 0.000 0.116 [4 per cell]
Te 0.000 0.500 0.000 [2 per cell]
Br 0.050 0.000 0.279 [4 per cell]
Br 0.163 0.309 0.106 [8 per cell]
Br 0.165 0.500 0.595 [4 per cell]

=====

Here is an optimized crystal structure of Ga2PdPb from Alexandria via LeMat-Bulk. Energies are from PBE.

Results
Total DFT energy (no corrections) ... -3.842 eV per atom
Crystal system ... tetragonal
Energy of formation ... -0.103 eV per atom
Calculated volume ... 22.1 Å³ per atom

a b c (Å): 4.500 4.500 17.492
angles (deg): 90.00 90.00 90.00
Space group I-42d (No. 122)
Asymmetric unit:
Ga 0.155 0.250 0.125 [8 per cell]
Pd 0.000 0.000 0.000 [4 per cell]
Pb 0.000 0.000 0.500 [4 per cell]